Na2CaCoH8: optimized geometry, GGA-PBE.

a = 4.761 Å, b = 4.761 Å, c = 6.098 Å
α = 90.00°, β = 90.00°, γ = 120.00°
Element x y z (fractional)
Na1 0.667 0.333 0.140
Na2 0.333 0.667 0.860
Ca1 0.000 0.000 0.500
Co1 0.000 0.000 0.000
H1 0.851 0.703 0.847
H2 0.297 0.149 0.847
H3 0.851 0.149 0.847
H4 0.149 0.297 0.153
H5 0.703 0.851 0.153
H6 0.149 0.851 0.153
H7 0.667 0.333 0.508
H8 0.333 0.667 0.492

Computed properties:
The magnetization comes out at 0.4 μB per formula unit. The total DFT energy (no corrections) comes out at -3.336 eV per atom.